## SrFe2Cl8 (PBE)

Data for crystalline SrFe2Cl8 at its relaxed geometry.

Unit cell a=10.4202 b=10.4202 c=10.0959 alpha=117.94 beta=117.94 gamma=57.94
Element x y z (fractional)
Sr1 0.0314 0.9686 0.7500
Sr2 0.9686 0.0314 0.2500
Fe1 0.1508 0.6532 0.9354
Fe2 0.3468 0.8492 0.5646
Fe3 0.6532 0.1508 0.4354
Fe4 0.8492 0.3468 0.0646
Cl1 0.0596 0.2697 0.9970
Cl2 0.0844 0.6382 0.6863
Cl3 0.1284 0.7900 0.4326
Cl4 0.2100 0.8716 0.0674
Cl5 0.2697 0.0596 0.4970
Cl6 0.3394 0.4427 0.9945
Cl7 0.3618 0.9156 0.8137
Cl8 0.4427 0.3394 0.4945
Cl9 0.5573 0.6606 0.5055
Cl10 0.6382 0.0844 0.1863
Cl11 0.6606 0.5573 0.0055
Cl12 0.7303 0.9404 0.5030
Cl13 0.7900 0.1284 0.9326
Cl14 0.8716 0.2100 0.5674
Cl15 0.9156 0.3618 0.3137
Cl16 0.9404 0.7303 0.0030

Computed properties:
The calculated total energy is -93.99 eV/cell. Its energy relative to the elements, uncorrected is -1.24 eV per atom. The space-group type is No. 15.

## CaCd3Cl8 (PBE)

Data for crystalline CaCd3Cl8 at its relaxed geometry.

Unit cell a=7.7920 b=7.7920 c=7.8611 alpha=119.32 beta=119.32 gamma=61.00
Element x y z (fractional)
Ca1 0.0000 0.0000 0.0000
Cd1 0.0000 0.5000 0.5000
Cd2 0.5000 0.0000 0.5000
Cd3 0.5000 0.5000 0.0000
Cl1 0.2484 0.2484 0.2691
Cl2 0.2482 0.7351 0.7555
Cl3 0.2569 0.2569 0.7397
Cl4 0.2649 0.7518 0.2445
Cl5 0.7351 0.2482 0.7555
Cl6 0.7431 0.7431 0.2603
Cl7 0.7518 0.2649 0.2445
Cl8 0.7516 0.7516 0.7309

Computed properties:
The calculated total energy is -36.40 eV/cell. Its energy relative to the elements, uncorrected is -1.41 eV per atom. For the density of states at the Fermi level, the calculation gives 0.0 states/eV per cell. The space-group type is No. 12.

## YTcN3 (PBE)

Data for crystalline YTcN3 at its relaxed geometry.

Unit cell a=4.0316 b=4.0316 c=6.2593 alpha=116.86 beta=116.86 gamma=44.31
Element x y z (fractional)
Y1 0.0000 0.0000 0.0000
Tc1 0.1249 0.1249 0.6100
N1 0.6062 0.6062 0.3518
N2 0.6548 0.6548 0.8655
N3 0.7988 0.7988 0.5427

Computed properties:
The calculated total energy is -43.60 eV/cell. Its energy relative to the elements, uncorrected is -0.36 eV per atom. For the density of states at the Fermi level, the calculation gives 2.5 states/eV per cell. The space-group type is No. 8.

## KLi2Al (PBE)

Data for crystalline KLi2Al at its relaxed geometry.

Unit cell a=10.5294 b=10.5294 c=10.5294 alpha=19.09 beta=19.09 gamma=19.09
Element x y z (fractional)
K1 0.0000 0.0000 0.0000
Li1 0.2306 0.2306 0.2306
Li2 0.7694 0.7694 0.7694
Al1 0.5000 0.5000 0.5000

Computed properties:
The calculated total energy is -7.68 eV/cell. For the density of states at the Fermi level, the calculation gives 2.4 states/eV per cell. As for the formation energy from the elements: 0.99 eV per formula unit. The space-group type is No. 166.

## SiPbI2N (PBE)

Data for crystalline SiPbI2N at its relaxed geometry.

Unit cell a=6.1697 b=6.1697 c=4.4069 alpha=90.00 beta=90.00 gamma=90.00
Element x y z (fractional)
Si1 0.0000 0.0000 0.0000
Pb1 0.5000 0.5000 0.5000
I1 0.0000 0.5000 0.5000
I2 0.5000 0.0000 0.5000
N1 0.5000 0.5000 0.0000

Computed properties:
The calculated total energy is -14.60 eV/cell. The energy above the most stable polymorph in this dataset is 1.019 eV/atom. Its energy relative to the elements, uncorrected is 1.19 eV per atom. For the density of states at the Fermi level, the calculation gives 5.0 states/eV per cell. The space-group type is No. 123.

## PmNdGa2Rh2 (PBE)

Data for crystalline PmNdGa2Rh2 at its relaxed geometry.

Unit cell a=4.3813 b=4.3813 c=7.6582 alpha=90.00 beta=90.00 gamma=120.00
Element x y z (fractional)
Pm1 0.0000 0.0000 0.0000
Nd1 0.0000 0.0000 0.5000
Ga1 0.3333 0.6667 0.2469
Ga2 0.6667 0.3333 0.7531
Rh1 0.3333 0.6667 0.7566
Rh2 0.6667 0.3333 0.2434

Computed properties:
The calculated total energy is -34.91 eV/cell. For the density of states at the Fermi level, the calculation gives 5.1 states/eV per cell. As for the formation energy from the elements: -4.64 eV per formula unit. The space-group type is No. 164.

## K2InWBr (PBE)

Data for crystalline K2InWBr at its relaxed geometry.

Unit cell a=6.1406 b=6.1406 c=4.8097 alpha=90.00 beta=90.00 gamma=90.00
Element x y z (fractional)
K1 0.0000 0.5000 0.0000
K2 0.5000 0.0000 0.0000
In1 0.0000 0.0000 0.5000
W1 0.5000 0.5000 0.5000
Br1 0.5000 0.5000 0.0000

Computed properties:
The calculated total energy is -15.41 eV/cell. Its energy relative to the elements, uncorrected is 0.83 eV per atom. For the density of states at the Fermi level, the calculation gives 3.8 states/eV per cell. The space-group type is No. 123.

## Ce4AgHg3 (PBE)

Data for crystalline Ce4AgHg3 at its relaxed geometry.

Unit cell a=9.6360 b=9.6360 c=9.6360 alpha=154.45 beta=149.14 gamma=40.48
Element x y z (fractional)
Ce1 0.1295 0.1295 0.0000
Ce2 0.2301 0.7301 0.5000
Ce3 0.7699 0.2699 0.5000
Ce4 0.8705 0.8705 0.0000
Ag1 0.0000 0.5000 0.5000
Hg1 0.3779 0.3779 0.0000
Hg2 0.5000 0.0000 0.5000
Hg3 0.6221 0.6221 0.0000

Computed properties:
The calculated total energy is -28.61 eV/cell. The energy above the most stable polymorph in this dataset is 0.086 eV/atom. For the density of states at the Fermi level, the calculation gives 16.0 states/eV per cell. As for the formation energy from the elements: -1.12 eV per formula unit. The space-group type is No. 71.

## CaMgTc2 (PBE)

Data for crystalline CaMgTc2 at its relaxed geometry.

Unit cell a=4.6390 b=4.6390 c=4.6390 alpha=60.00 beta=60.00 gamma=60.00
Element x y z (fractional)
Ca1 0.0000 0.0000 0.0000
Mg1 0.7500 0.7500 0.7500
Tc1 0.2500 0.2500 0.2500
Tc2 0.5000 0.5000 0.5000

Computed properties:
The calculated total energy is -22.80 eV/cell. For the density of states at the Fermi level, the calculation gives 2.3 states/eV per cell. As for the formation energy from the elements: 1.53 eV per formula unit. The space-group type is No. 216.

## MoPt2 (PBE)

Data for crystalline MoPt2 at its relaxed geometry.

Unit cell a=5.1166 b=5.1166 c=5.1166 alpha=104.12 beta=104.12 gamma=120.80
Element x y z (fractional)
Mo1 0.2500 0.2500 0.0000
Mo2 0.7500 0.7500 0.0000
Pt1 0.1440 0.6440 0.7880
Pt2 0.3560 0.1440 0.5000
Pt3 0.6440 0.8560 0.5000
Pt4 0.8560 0.3560 0.2120

Computed properties:
The calculated total energy is -45.29 eV/cell. The energy above the most stable polymorph in this dataset is 0.469 eV/atom. For the density of states at the Fermi level, the calculation gives 7.6 states/eV per cell. As for the formation energy from the elements: 0.27 eV per formula unit. The space-group type is No. 140.

## TiSb3Ir (PBE)

Data for crystalline TiSb3Ir at its relaxed geometry.

Unit cell a=5.1153 b=5.1153 c=5.1153 alpha=90.00 beta=90.00 gamma=90.00
Element x y z (fractional)
Ti1 0.0000 0.0000 0.0000
Sb1 0.0000 0.0000 0.5000
Sb2 0.0000 0.5000 0.0000
Sb3 0.5000 0.0000 0.0000
Ir1 0.5000 0.5000 0.5000

Computed properties:
The calculated total energy is -24.48 eV/cell. The energy above the most stable polymorph in this dataset is 0.179 eV/atom. Its energy relative to the elements, uncorrected is 0.93 eV per atom. For the density of states at the Fermi level, the calculation gives 2.2 states/eV per cell. The space-group type is No. 221.

## Li3As2 (PBE)

Data for crystalline Li3As2 at its relaxed geometry.

Unit cell a=4.6947 b=4.6947 c=5.0824 alpha=90.00 beta=90.00 gamma=120.00
Element x y z (fractional)
Li1 0.0000 0.0000 0.0000
Li2 0.3333 0.6667 0.3763
Li3 0.6667 0.3333 0.6237
As1 0.3333 0.6667 0.8895
As2 0.6667 0.3333 0.1105

Computed properties:
The calculated total energy is -16.62 eV/cell. The energy above the most stable polymorph in this dataset is 0.182 eV/atom. For the density of states at the Fermi level, the calculation gives 2.4 states/eV per cell. As for the formation energy from the elements: -1.58 eV per formula unit. The space-group type is No. 164.

## PrHoCdPb (PBE)

Data for crystalline PrHoCdPb at its relaxed geometry.

Unit cell a=5.4320 b=5.4320 c=5.4320 alpha=60.00 beta=60.00 gamma=60.00
Element x y z (fractional)
Pr1 0.0000 0.0000 0.0000
Ho1 0.5000 0.5000 0.5000
Cd1 0.7500 0.7500 0.7500
Pb1 0.2500 0.2500 0.2500

Computed properties:
The calculated total energy is -15.57 eV/cell. For the density of states at the Fermi level, the calculation gives 3.7 states/eV per cell. As for the formation energy from the elements: -1.59 eV per formula unit. The space-group type is No. 216.

## PmAgPbSe3 (PBE)

Data for crystalline PmAgPbSe3 at its relaxed geometry.

Unit cell a=8.6178 b=4.2134 c=9.3219 alpha=90.00 beta=103.06 gamma=90.00
Element x y z (fractional)
Pm1 0.1748 0.2500 0.1722
Pm2 0.8252 0.7500 0.8278
Ag1 0.4102 0.7500 0.4166
Ag2 0.5898 0.2500 0.5834
Pb1 0.3093 0.7500 0.7663
Pb2 0.6907 0.2500 0.2337
Se1 0.0696 0.2500 0.8430
Se2 0.2484 0.2500 0.4966
Se3 0.4011 0.7500 0.1274
Se4 0.5989 0.2500 0.8726
Se5 0.7516 0.7500 0.5034
Se6 0.9304 0.7500 0.1570

Computed properties:
The calculated total energy is -55.22 eV/cell. Its energy relative to the elements, uncorrected is -0.97 eV per atom. The space-group type is No. 11.

## SmLuTlIr (PBE)

Data for crystalline SmLuTlIr at its relaxed geometry.

Unit cell a=5.1042 b=5.1042 c=5.1042 alpha=60.00 beta=60.00 gamma=60.00
Element x y z (fractional)
Sm1 0.0000 0.0000 0.0000
Lu1 0.5000 0.5000 0.5000
Tl1 0.2500 0.2500 0.2500
Ir1 0.7500 0.7500 0.7500

Computed properties:
The calculated total energy is -22.29 eV/cell. For the density of states at the Fermi level, the calculation gives 2.0 states/eV per cell. As for the formation energy from the elements: -1.82 eV per formula unit. The space-group type is No. 216.

## BaTiNb2O8 (PBE)

Data for crystalline BaTiNb2O8 at its relaxed geometry.

Unit cell a=5.4999 b=5.4999 c=7.6694 alpha=90.98 beta=90.98 gamma=65.34
Element x y z (fractional)
Ba1 0.0000 0.0000 0.0000
Ti1 0.0000 0.0000 0.5000
Nb1 0.3622 0.3622 0.7051
Nb2 0.6378 0.6378 0.2949
O1 0.2056 0.2056 0.5478
O2 0.2091 0.7430 0.6842
O3 0.2570 0.7909 0.3158
O4 0.2968 0.2968 0.9265
O5 0.7032 0.7032 0.0735
O6 0.7430 0.2091 0.6842
O7 0.7909 0.2570 0.3158
O8 0.7944 0.7944 0.4522

Computed properties:
The calculated total energy is -102.70 eV/cell. Its energy relative to the elements, uncorrected is -2.76 eV per atom. For the density of states at the Fermi level, the calculation gives 0.0 states/eV per cell. The space-group type is No. 12.

## MnSeBrN2 (PBE)

Data for crystalline MnSeBrN2 at its relaxed geometry.

Unit cell a=3.7478 b=3.7478 c=6.5971 alpha=90.00 beta=90.00 gamma=90.00
Element x y z (fractional)
Mn1 0.0000 0.0000 0.0000
Se1 0.5000 0.5000 0.0000
Br1 0.5000 0.5000 0.5000
N1 0.0000 0.5000 0.5000
N2 0.5000 0.0000 0.5000

Computed properties:
The calculated total energy is -21.49 eV/cell. The energy above the most stable polymorph in this dataset is 1.124 eV/atom. Its energy relative to the elements, uncorrected is 1.90 eV per atom. For the density of states at the Fermi level, the calculation gives 2.3 states/eV per cell. The space-group type is No. 123.

## P2PbCl (PBE)

Data for crystalline P2PbCl at its relaxed geometry.

Unit cell a=4.8948 b=4.8948 c=4.8948 alpha=60.00 beta=60.00 gamma=60.00
Element x y z (fractional)
P1 0.0000 0.0000 0.0000
P2 0.2500 0.2500 0.2500
Pb1 0.7500 0.7500 0.7500
Cl1 0.5000 0.5000 0.5000

Computed properties:
The calculated total energy is -14.66 eV/cell. The energy above the most stable polymorph in this dataset is 0.660 eV/atom. Its energy relative to the elements, uncorrected is 0.43 eV per atom. For the density of states at the Fermi level, the calculation gives 2.4 states/eV per cell. The space-group type is No. 216.

## SmScS2 (PBE)

Data for crystalline SmScS2 at its relaxed geometry.

Unit cell a=6.7406 b=6.7406 c=6.7406 alpha=32.99 beta=32.99 gamma=32.99
Element x y z (fractional)
Sm1 0.0000 0.0000 0.0000
Sc1 0.5000 0.5000 0.5000
S1 0.2413 0.2413 0.2413
S2 0.7587 0.7587 0.7587

Computed properties:
The calculated total energy is -27.03 eV/cell. The energy above the most stable polymorph in this dataset is 0.000 eV/atom. Its energy relative to the elements, uncorrected is -1.93 eV per atom. For the density of states at the Fermi level, the calculation gives 1.8 states/eV per cell. The space-group type is No. 166.

## PmNi6B (PBE)

Data for crystalline PmNi6B at its relaxed geometry.

Unit cell a=5.2755 b=5.2755 c=5.2755 alpha=60.81 beta=60.81 gamma=60.81
Element x y z (fractional)
Pm1 0.0000 0.0000 0.0000
Ni1 0.0616 0.6055 0.6055
Ni2 0.3945 0.3945 0.9384
Ni3 0.3945 0.9384 0.3945
Ni4 0.6055 0.0616 0.6055
Ni5 0.6055 0.6055 0.0616
Ni6 0.9384 0.3945 0.3945
B1 0.5000 0.5000 0.5000

Computed properties:
The calculated total energy is -47.02 eV/cell. For the density of states at the Fermi level, the calculation gives 10.3 states/eV per cell. As for the formation energy from the elements: -0.90 eV per formula unit. The space-group type is No. 166.